Density functional theory data (PBE-GGA) for an optimized crystal structure of UAgIO6.

Values from the calculation:
E_form (uncorrected) = -1.369 eV per atom
space group = P-31c (163)
theoretical density = 6644 kg/m3

Cell lengths 5.709, 5.709, 10.071 Å; angles 90.00, 90.00, 120.00 degrees
Fractional coordinates of all 18 atoms:
U: 0.667 0.333 0.250
U: 0.333 0.667 0.750
Ag: 0.000 0.000 0.000
Ag: 0.000 0.000 0.500
I: 0.333 0.667 0.250
I: 0.667 0.333 0.750
O: 0.631 0.632 0.142
O: 0.001 0.369 0.142
O: 0.369 0.001 0.642
O: 0.999 0.631 0.858
O: 0.368 0.369 0.358
O: 0.001 0.632 0.358
O: 0.632 0.001 0.858
O: 0.631 0.999 0.358
O: 0.999 0.368 0.642
O: 0.368 0.999 0.142
O: 0.632 0.631 0.642
O: 0.369 0.368 0.858